(1)
Entry from Alexandria: crystalline K2TaCo at its relaxed geometry (GGA-PBE).

Properties
* crystal system: orthorhombic
* total energy: -17.16 eV/f.u.
* polymorph energy (0 for the lowest one): 370 meV/atom

a = 7.2556 Å, b = 7.2556 Å, c = 7.2556 Å
α = 154.94°, β = 127.98°, γ = 58.58°
Fractional coordinates of all 4 atoms:
K 0.0000 0.0000 0.0000
K 0.6924 0.1924 0.5000
Ta 0.3713 0.3713 0.0000
Co 0.2436 0.7436 0.5000



(2)
Entry from Alexandria: crystalline KTaCo2 at its relaxed geometry (GGA-PBE).

Properties
* crystal system: cubic
* total energy: -21.52 eV/f.u.
* polymorph energy (0 for the lowest one): 1023 meV/atom

a = 4.4752 Å, b = 4.4752 Å, c = 4.4752 Å
α = 60.00°, β = 60.00°, γ = 60.00°
Fractional coordinates of all 4 atoms:
K 0.0000 0.0000 0.0000
Ta 0.2500 0.2500 0.2500
Co 0.5000 0.5000 0.5000
Co 0.7500 0.7500 0.7500



Question: Which of these has the lowest total energy?
Answer: KTaCo2



Repeat the first record exactly.
Entry from Alexandria: crystalline K2TaCo at its relaxed geometry (GGA-PBE).

Properties
* crystal system: orthorhombic
* total energy: -17.16 eV/f.u.
* polymorph energy (0 for the lowest one): 370 meV/atom

a = 7.2556 Å, b = 7.2556 Å, c = 7.2556 Å
α = 154.94°, β = 127.98°, γ = 58.58°
Fractional coordinates of all 4 atoms:
K 0.0000 0.0000 0.0000
K 0.6924 0.1924 0.5000
Ta 0.3713 0.3713 0.0000
Co 0.2436 0.7436 0.5000